<w>
# HfTcNiB

A geometry-optimized HfTcNiB structure (PBE, OQMD via LeMat-Bulk).

SG: F-43m
V in Å³ per atom: 13.67

abc: 4.2607 4.2607 4.2607
angles: 60.00 60.00 60.00
Closest atoms and distances in Å follow each position.
Fractional coordinates of all 4 atoms:
Hf  0.0000  0.0000  0.0000  4 Tc 2.61, 4 B 2.61
Tc  0.7500  0.7500  0.7500  4 Hf 2.61, 4 Ni 2.61
Ni  0.5000  0.5000  0.5000  4 Tc 2.61, 4 B 2.61
B  0.2500  0.2500  0.2500  4 Hf 2.61, 4 Ni 2.61

---

<x>
# HfTcNiB

A geometry-optimized HfTcNiB structure (PBE, OQMD via LeMat-Bulk).

SG: F-43m
V in Å³ per atom: 12.95

abc: 4.1838 4.1838 4.1838
angles: 60.00 60.00 60.00
Closest atoms and distances in Å follow each position.
Fractional coordinates of all 4 atoms:
Hf  0.0000  0.0000  0.0000  4 B 2.56, 4 Ni 2.56
Tc  0.5000  0.5000  0.5000  4 Ni 2.56, 4 B 2.56
Ni  0.7500  0.7500  0.7500  4 Tc 2.56, 4 Hf 2.56
B  0.2500  0.2500  0.2500  4 Tc 2.56, 4 Hf 2.56

---

<y>
# HfTcNiB

A geometry-optimized HfTcNiB structure (PBE, OQMD via LeMat-Bulk).

SG: F-43m
V in Å³ per atom: 13.09

abc: 4.1992 4.1992 4.1992
angles: 60.00 60.00 60.00
Closest atoms and distances in Å follow each position.
Fractional coordinates of all 4 atoms:
Hf  0.0000  0.0000  0.0000  4 Tc 2.57, 4 Ni 2.57
Tc  0.2500  0.2500  0.2500  4 B 2.57, 4 Hf 2.57
Ni  0.7500  0.7500  0.7500  4 Hf 2.57, 4 B 2.57
B  0.5000  0.5000  0.5000  4 Tc 2.57, 4 Ni 2.57

---

The least stable of them is <w>.